Compound: Cu2TcIr
Source: Alexandria via LeMat-Bulk
Functional: PBE-GGA
Structure: optimized geometry

Output
* calculated volume: 53.9 Å³/f.u.
* energy above the most stable polymorph in this dataset: 59.0 meV/atom
* magnetization: 0.00 μB/f.u.
* ΔE_f: 0.094 eV/atom
* space-group type: Cm, No. 8

CIF file:
```
data_Cu2TcIr
_cell_length_a 4.591
_cell_length_b 4.591
_cell_length_c 4.621
_cell_angle_alpha 81.12
_cell_angle_beta 81.12
_cell_angle_gamma 34.12
_space_group_name_H-M_alt 'P 1'
_space_group_IT_number 1
loop_
_space_group_symop_operation_xyz
'x,y,z'
loop_
_atom_site_label
_atom_site_fract_x
_atom_site_fract_y
_atom_site_fract_z
Cu1 0.998 0.998 0.025
Cu2 0.249 0.249 0.225
Ir1 0.500 0.500 0.525
Tc1 0.752 0.752 0.725
```


Compound: Rb2HBr
Source: Alexandria via LeMat-Bulk
Functional: PBE-GGA
Structure: optimized geometry

Output
* calculated volume: 141.2 Å³/f.u.
* energy above the most stable polymorph in this dataset: 0.0 meV/atom
* magnetization: 0.04 μB/f.u.
* space-group type: R-3m, No. 166

CIF file:
```
data_Rb2HBr
_cell_length_a 4.617
_cell_length_b 4.617
_cell_length_c 8.099
_cell_angle_alpha 90.00
_cell_angle_beta 106.56
_cell_angle_gamma 120.01
_space_group_name_H-M_alt 'P 1'
_space_group_IT_number 1
loop_
_space_group_symop_operation_xyz
'x,y,z'
loop_
_atom_site_label
_atom_site_fract_x
_atom_site_fract_y
_atom_site_fract_z
Rb1 0.521 0.261 0.781
Rb2 0.479 0.739 0.219
H1 0.000 0.000 0.000
Br1 0.000 0.500 0.500
```


Compound: Tb12PmPr6
Source: Alexandria via LeMat-Bulk
Functional: PBE-GGA
Structure: optimized geometry

Output
* calculated volume: 674.0 Å³/f.u.
* energy above the most stable polymorph in this dataset: 235.4 meV/atom
* magnetization: 0.74 μB/f.u.
* ΔE_f: 0.445 eV/atom
* space-group type: R-3m, No. 166

CIF file:
```
data_Tb12PmPr6
_cell_length_a 8.941
_cell_length_b 8.941
_cell_length_c 8.941
_cell_angle_alpha 100.44
_cell_angle_beta 100.44
_cell_angle_gamma 100.44
_space_group_name_H-M_alt 'P 1'
_space_group_IT_number 1
loop_
_space_group_symop_operation_xyz
'x,y,z'
loop_
_atom_site_label
_atom_site_fract_x
_atom_site_fract_y
_atom_site_fract_z
Tb1 0.886 0.114 0.500
Tb2 0.837 0.555 0.555
Tb3 0.555 0.555 0.837
Tb4 0.445 0.163 0.445
Tb5 0.445 0.445 0.163
Tb6 0.163 0.445 0.445
Tb7 0.114 0.500 0.886
Tb8 0.500 0.886 0.114
Tb9 0.114 0.886 0.500
Tb10 0.886 0.500 0.114
Tb11 0.500 0.114 0.886
Tb12 0.555 0.837 0.555
Pm1 0.000 0.000 0.000
Pr1 0.735 0.225 0.225
Pr2 0.225 0.225 0.735
Pr3 0.225 0.735 0.225
Pr4 0.775 0.775 0.265
Pr5 0.265 0.775 0.775
Pr6 0.775 0.265 0.775
```


Compound: Dy6IrPd2
Source: Alexandria via LeMat-Bulk
Functional: PBE-GGA
Structure: optimized geometry

Output
* calculated volume: 242.1 Å³/f.u.
* energy above the most stable polymorph in this dataset: 0.0 meV/atom
* magnetization: 0.00 μB/f.u.
* ΔE_f: -0.611 eV/atom
* space-group type: P2_1/c, No. 14

CIF file:
```
data_Dy6IrPd2
_cell_length_a 6.554
_cell_length_b 7.335
_cell_length_c 10.078
_cell_angle_alpha 90.00
_cell_angle_beta 91.62
_cell_angle_gamma 90.00
_space_group_name_H-M_alt 'P 1'
_space_group_IT_number 1
loop_
_space_group_symop_operation_xyz
'x,y,z'
loop_
_atom_site_label
_atom_site_fract_x
_atom_site_fract_y
_atom_site_fract_z
Dy1 0.845 0.958 0.247
Dy2 0.827 0.675 0.570
Dy3 0.840 0.684 0.932
Dy4 0.660 0.184 0.568
Dy5 0.673 0.175 0.930
Dy6 0.655 0.458 0.253
Dy7 0.155 0.042 0.753
Dy8 0.173 0.325 0.430
Dy9 0.160 0.316 0.068
Dy10 0.340 0.816 0.432
Dy11 0.327 0.825 0.070
Dy12 0.345 0.542 0.747
Ir1 0.500 0.500 0.000
Ir2 0.000 0.000 0.500
Pd1 0.941 0.385 0.759
Pd2 0.559 0.885 0.741
Pd3 0.441 0.115 0.259
Pd4 0.059 0.615 0.241
```


Compound: YSbW3
Source: Alexandria via LeMat-Bulk
Functional: PBE-GGA
Structure: optimized geometry

Output
* calculated volume: 120.5 Å³/f.u.
* energy above the most stable polymorph in this dataset: 0.0 meV/atom
* magnetization: 0.00 μB/f.u.
* space-group type: Pm-3m, No. 221

CIF file:
```
data_YSbW3
_cell_length_a 4.939
_cell_length_b 4.939
_cell_length_c 4.939
_cell_angle_alpha 90.00
_cell_angle_beta 90.00
_cell_angle_gamma 90.00
_space_group_name_H-M_alt 'P 1'
_space_group_IT_number 1
loop_
_space_group_symop_operation_xyz
'x,y,z'
loop_
_atom_site_label
_atom_site_fract_x
_atom_site_fract_y
_atom_site_fract_z
Y1 0.500 0.500 0.500
Sb1 0.000 0.000 0.000
W1 0.000 0.500 0.000
W2 0.000 0.000 0.500
W3 0.500 0.000 0.000
```


Compound: RbH6N2F2
Source: Alexandria via LeMat-Bulk
Functional: PBE-GGA
Structure: optimized geometry

Output
* calculated volume: 121.1 Å³/f.u.
* magnetization: 1.00 μB/f.u.
* raw total energy: -4.668 eV/atom
* space-group type: C2/m, No. 12

CIF file:
```
data_RbH6N2F2
_cell_length_a 4.596
_cell_length_b 7.025
_cell_length_c 6.708
_cell_angle_alpha 139.63
_cell_angle_beta 90.00
_cell_angle_gamma 70.91
_space_group_name_H-M_alt 'P 1'
_space_group_IT_number 1
loop_
_space_group_symop_operation_xyz
'x,y,z'
loop_
_atom_site_label
_atom_site_fract_x
_atom_site_fract_y
_atom_site_fract_z
Rb1 0.500 0.000 0.500
H1 0.364 0.656 0.813
H2 0.020 0.344 0.187
H3 0.169 0.661 0.592
H4 0.980 0.656 0.813
H5 0.831 0.339 0.408
H6 0.636 0.344 0.187
N1 0.143 0.714 0.785
N2 0.857 0.286 0.215
F1 0.764 0.472 0.771
F2 0.236 0.528 0.229
```


Compound: Hf4ZrHg
Source: Alexandria via LeMat-Bulk
Functional: PBE-GGA
Structure: optimized geometry

Output
* calculated volume: 133.6 Å³/f.u.
* magnetization: 0.00 μB/f.u.
* ΔE_f: -0.034 eV/atom
* space-group type: P4/mmm, No. 123

CIF file:
```
data_Hf4ZrHg
_cell_length_a 3.206
_cell_length_b 3.206
_cell_length_c 12.995
_cell_angle_alpha 90.00
_cell_angle_beta 90.00
_cell_angle_gamma 90.00
_space_group_name_H-M_alt 'P 1'
_space_group_IT_number 1
loop_
_space_group_symop_operation_xyz
'x,y,z'
loop_
_atom_site_label
_atom_site_fract_x
_atom_site_fract_y
_atom_site_fract_z
Hf1 0.500 0.500 0.174
Hf2 0.000 0.000 0.663
Hf3 0.000 0.000 0.337
Hf4 0.500 0.500 0.826
Zr1 0.000 0.000 0.000
Hg1 0.500 0.500 0.500
```


Compound: Sc2ZnSe
Source: Alexandria via LeMat-Bulk
Functional: PBE-GGA
Structure: optimized geometry

Output
* calculated volume: 77.6 Å³/f.u.
* energy above the most stable polymorph in this dataset: 407.8 meV/atom
* magnetization: 0.00 μB/f.u.
* space-group type: Fm-3m, No. 225

CIF file:
```
data_Sc2ZnSe
_cell_length_a 4.788
_cell_length_b 4.788
_cell_length_c 4.788
_cell_angle_alpha 60.00
_cell_angle_beta 60.00
_cell_angle_gamma 60.00
_space_group_name_H-M_alt 'P 1'
_space_group_IT_number 1
loop_
_space_group_symop_operation_xyz
'x,y,z'
loop_
_atom_site_label
_atom_site_fract_x
_atom_site_fract_y
_atom_site_fract_z
Sc1 0.250 0.250 0.250
Sc2 0.750 0.750 0.750
Zn1 0.000 0.000 0.000
Se1 0.500 0.500 0.500
```


Compound: LiZrZn
Source: Alexandria via LeMat-Bulk
Functional: PBE-GGA
Structure: optimized geometry

Output
* calculated volume: 64.1 Å³/f.u.
* energy above the most stable polymorph in this dataset: 781.4 meV/atom
* magnetization: 0.00 μB/f.u.
* ΔE_f: 0.647 eV/atom
* space-group type: F-43m, No. 216

CIF file:
```
data_LiZrZn
_cell_length_a 4.493
_cell_length_b 4.493
_cell_length_c 4.493
_cell_angle_alpha 60.00
_cell_angle_beta 60.00
_cell_angle_gamma 60.00
_space_group_name_H-M_alt 'P 1'
_space_group_IT_number 1
loop_
_space_group_symop_operation_xyz
'x,y,z'
loop_
_atom_site_label
_atom_site_fract_x
_atom_site_fract_y
_atom_site_fract_z
Li1 0.000 0.000 0.000
Zn1 0.500 0.500 0.500
Zr1 0.750 0.750 0.750
```


Compound: Be2TlZn2
Source: Alexandria via LeMat-Bulk
Functional: PBE-GGA
Structure: optimized geometry

Output
* calculated volume: 77.6 Å³/f.u.
* energy above the most stable polymorph in this dataset: 32.5 meV/atom
* magnetization: 0.00 μB/f.u.
* ΔE_f: 0.465 eV/atom
* space-group type: P4/mbm, No. 127

CIF file:
```
data_Be2TlZn2
_cell_length_a 7.025
_cell_length_b 7.025
_cell_length_c 3.144
_cell_angle_alpha 90.00
_cell_angle_beta 90.00
_cell_angle_gamma 90.00
_space_group_name_H-M_alt 'P 1'
_space_group_IT_number 1
loop_
_space_group_symop_operation_xyz
'x,y,z'
loop_
_atom_site_label
_atom_site_fract_x
_atom_site_fract_y
_atom_site_fract_z
Be1 0.390 0.890 0.000
Be2 0.890 0.610 0.000
Be3 0.610 0.110 0.000
Be4 0.110 0.390 0.000
Tl1 0.000 0.000 0.000
Tl2 0.500 0.500 0.000
Zn1 0.170 0.670 0.500
Zn2 0.670 0.830 0.500
Zn3 0.830 0.330 0.500
Zn4 0.330 0.170 0.500
```


Compound: LiAcLaIn
Source: Alexandria via LeMat-Bulk
Functional: PBE-GGA
Structure: optimized geometry

Output
* calculated volume: 128.0 Å³/f.u.
* magnetization: 0.00 μB/f.u.
* ΔE_f: -0.243 eV/atom
* space-group type: F-43m, No. 216

CIF file:
```
data_LiAcLaIn
_cell_length_a 5.657
_cell_length_b 5.657
_cell_length_c 5.657
_cell_angle_alpha 60.00
_cell_angle_beta 60.00
_cell_angle_gamma 60.00
_space_group_name_H-M_alt 'P 1'
_space_group_IT_number 1
loop_
_space_group_symop_operation_xyz
'x,y,z'
loop_
_atom_site_label
_atom_site_fract_x
_atom_site_fract_y
_atom_site_fract_z
Ac1 0.500 0.500 0.500
In1 0.750 0.750 0.750
Li1 0.250 0.250 0.250
La1 0.000 0.000 0.000
```


Compound: NdPa3As4
Source: Alexandria via LeMat-Bulk
Functional: PBE-GGA
Structure: optimized geometry

Output
* calculated volume: 199.4 Å³/f.u.
* magnetization: 0.00 μB/f.u.
* ΔE_f: -1.158 eV/atom
* space-group type: Cmmm, No. 65

CIF file:
```
data_NdPa3As4
_cell_length_a 4.129
_cell_length_b 7.157
_cell_length_c 7.157
_cell_angle_alpha 70.54
_cell_angle_beta 90.00
_cell_angle_gamma 90.00
_space_group_name_H-M_alt 'P 1'
_space_group_IT_number 1
loop_
_space_group_symop_operation_xyz
'x,y,z'
loop_
_atom_site_label
_atom_site_fract_x
_atom_site_fract_y
_atom_site_fract_z
As1 0.000 0.758 0.743
As2 0.500 0.753 0.253
As3 0.000 0.243 0.257
As4 0.500 0.247 0.747
Pa1 0.500 0.000 0.500
Pa2 0.000 0.000 0.000
Pa3 0.000 0.500 0.500
Nd1 0.500 0.500 0.000
```